VASP calculation (GGA-PBE) on crystalline LiAc2Ag6 at its relaxed geometry.

Cell: 6.4079 6.4079 6.0339 Å, 90.00 90.00 120.00°
Atoms (fractional coordinates):
Li 0.0000 0.0000 0.0000
Ac 0.3333 0.6667 0.8367
Ac 0.6667 0.3333 0.1633
Ag 0.1762 0.3525 0.3235
Ag 0.1762 0.8238 0.3235
Ag 0.3525 0.1762 0.6765
Ag 0.6475 0.8238 0.3235
Ag 0.8238 0.1762 0.6765
Ag 0.8238 0.6475 0.6765

Output
For the formation energy, the calculation gives -0.18 eV/atom. The density of states at the Fermi level is 4.260 states/eV per cell.